(1)
First-principles (GGA-PBE) data for crystalline SrLiEr2Te4 at its relaxed geometry, as listed in the Alexandria database.

```
SrLiEr2Te4
1.0
2.208 -7.268 0.000
2.208 7.268 0.000
0.000 0.000 15.268
Sr Li Er Te
2 2 4 8
direct
0.125 0.875 0.750
0.875 0.125 0.250
0.149 0.851 0.250
0.851 0.149 0.750
0.373 0.627 0.561
0.373 0.627 0.939
0.627 0.373 0.061
0.627 0.373 0.439
0.000 0.000 0.000
0.000 0.000 0.500
0.270 0.730 0.115
0.270 0.730 0.385
0.454 0.546 0.750
0.546 0.454 0.250
0.730 0.270 0.615
0.730 0.270 0.885
```

Output
SG   Cmcm (63)
Total moment   0.000 μB/cell
Formation energy from raw total energies   -10.79 eV per formula unit
V   30.6 Å³ per atom

***

(2)
First-principles (GGA-PBE) data for crystalline MgAlTcBi2 at its relaxed geometry, as listed in the Alexandria database.

```
MgAlTcBi2
1.0
5.408 0.000 0.000
0.000 5.408 0.000
0.000 0.000 4.939
Mg Al Tc Bi
1 1 1 2
direct
0.000 0.000 0.000
0.500 0.500 0.500
0.000 0.000 0.500
0.000 0.500 0.000
0.500 0.000 0.000
```

Output
SG   P4/mmm (123)
DFT formation energy   1.22 eV per atom
Total moment   2.636 μB/cell
V   28.9 Å³ per atom

***

(3)
First-principles (GGA-PBE) data for crystalline LiGe2Pd2 at its relaxed geometry, as listed in the Alexandria database.

```
LiGe2Pd2
1.0
-2.071 2.071 5.236
2.071 -2.071 5.236
2.071 2.071 -5.236
Li Ge Pd
1 2 2
direct
0.000 0.000 0.000
0.385 0.385 0.000
0.615 0.615 0.000
0.250 0.750 0.500
0.750 0.250 0.500
```

Output
SG   I4/mmm (139)
Relative energy among the computed polymorphs   3.5 kJ/mol of atoms
DFT formation energy   -0.43 eV per atom
Total moment   0.000 μB/cell
V   18.0 Å³ per atom

***

| no. | ρ (g cm⁻³) |
| --- | --- |
| 1 | 6.37 |
| 2 | 6.52 |
| 3 | 6.75 |